# TcTeAu3

A relaxed structure of TcTeAu3 (GGA-PBE, Alexandria).

Summary:
Offset from the most stable computed form: 144 meV per atom
E_form (uncorrected): 1.31 eV/atom
Volume: 141 Å³/cell
Total magnetic moment: 4.257 Bohr magnetons per cell

a = 5.2099 Å, b = 5.2099 Å, c = 5.2099 Å
α = 90.00°, β = 90.00°, γ = 90.00°
With the nearest neighbours (Å) after each atom.
Positions (direct):
1 Au 0.0000 0.5000 0.0000  2 Te 2.60
2 Te 0.0000 0.0000 0.0000  6 Au 2.60
3 Tc 0.5000 0.5000 0.5000  12 Au 3.68
4 Au 0.0000 0.0000 0.5000  2 Te 2.60
5 Au 0.5000 0.0000 0.0000  2 Te 2.60